Entry 1:
First-principles (PBE-GGA) data for a relaxed structure of Cd2AgGe2, as listed in Alexandria via LeMat-Bulk.

Calculated values
Energy above the lowest structure with this stoichiometry, eV/f.u.: 0.16
Space group: No. 139
Formation enthalpy at 0 K, kJ/mol of formula units: 100

Cell and atoms, written as POSCAR:
```
Cd2AgGe2
1.0
-1.849 1.849 7.898
1.849 -1.849 7.898
1.849 1.849 -7.898
Cd Ag Ge
2 1 2
direct
0.095 0.095 0.000 Cd
0.905 0.905 0.000 Cd
0.500 0.500 0.000 Ag
0.250 0.750 0.500 Ge
0.750 0.250 0.500 Ge
```


Entry 2:
First-principles (PBE-GGA) data for a relaxed structure of Zr6Sb3N, as listed in Alexandria via LeMat-Bulk.

Calculated values
Space group: No. 36
Formation energy (no corrections), meV per atom: -686

Cell and atoms, written as POSCAR:
```
Zr6Sb3N
1.0
6.003 -7.370 0.000
6.003 7.370 0.000
0.000 0.000 4.721
Zr Sb N
12 6 2
direct
0.067 0.933 0.500 Zr
0.074 0.582 0.506 Zr
0.253 0.747 0.006 Zr
0.259 0.407 0.005 Zr
0.407 0.259 0.505 Zr
0.418 0.926 0.506 Zr
0.582 0.074 0.006 Zr
0.593 0.741 0.005 Zr
0.741 0.593 0.505 Zr
0.747 0.253 0.506 Zr
0.926 0.418 0.006 Zr
0.933 0.067 0.000 Zr
0.076 0.265 0.504 Sb
0.265 0.076 0.004 Sb
0.412 0.588 0.505 Sb
0.588 0.412 0.005 Sb
0.735 0.924 0.504 Sb
0.924 0.735 0.004 Sb
0.212 0.788 0.506 N
0.788 0.212 0.006 N
```


Entry 3:
First-principles (PBE-GGA) data for a relaxed structure of MgOsNO2, as listed in Alexandria via LeMat-Bulk.

Calculated values
Space group: No. 123
Formation energy (no corrections), meV per atom: -533

Cell and atoms, written as POSCAR:
```
MgOsNO2
1.0
3.945 0.000 0.000
0.000 3.945 0.000
0.000 0.000 3.788
Mg Os N O
1 1 1 2
direct
0.000 0.000 0.000 Mg
0.500 0.500 0.500 Os
0.500 0.500 0.000 N
0.000 0.500 0.500 O
0.500 0.000 0.500 O
```


Entry 4:
First-principles (PBE-GGA) data for a relaxed structure of Mg2Mo, as listed in Alexandria via LeMat-Bulk.

Calculated values
Energy above the lowest structure with this stoichiometry, eV/f.u.: 0.11
Space group: No. 139
Formation enthalpy at 0 K, kJ/mol of formula units: 75

Cell and atoms, written as POSCAR:
```
Mg2Mo
1.0
-1.401 1.401 7.060
1.401 -1.401 7.060
1.401 1.401 -7.060
Mg Mo
2 1
direct
0.156 0.156 0.000 Mg
0.844 0.844 0.000 Mg
0.500 0.500 0.000 Mo
```


no.,magnetic moment (μB per formula unit)
1,0.0
2,0.0
3,0.0
4,0.0